Crystalline Ac2Sb4Pd3Rh at its relaxed geometry, computed with GGA-PBE.

Cell lengths 4.751, 4.751, 10.565 Å; angles 90.00, 90.00, 90.00 degrees
Atoms (fractional coordinates):
Ac  0.500  0.000  0.260
Ac  0.000  0.500  0.740
Sb  0.500  0.500  0.000
Sb  0.000  0.000  0.000
Sb  0.500  0.000  0.623
Sb  0.000  0.500  0.377
Pd  0.000  0.000  0.500
Pd  0.500  0.000  0.875
Pd  0.000  0.500  0.125
Rh  0.500  0.500  0.500

Calculated values
- uncorrected formation energy (eV/atom) = -0.87
- total moment (μB/atom) = 0.00



Crystalline K2Cu2Te3 at its relaxed geometry, computed with GGA-PBE.

Cell lengths 9.268, 6.869, 8.161 Å; angles 90.00, 56.15, 90.00 degrees
Atoms (fractional coordinates):
K  0.923  0.601  0.799
K  0.423  0.899  0.799
K  0.577  0.101  0.201
K  0.077  0.399  0.201
Cu  0.598  0.405  0.638
Cu  0.902  0.905  0.362
Cu  0.098  0.095  0.638
Cu  0.402  0.595  0.362
Te  0.500  0.500  0.000
Te  0.000  0.000  0.000
Te  0.805  0.151  0.651
Te  0.695  0.651  0.349
Te  0.305  0.349  0.651
Te  0.195  0.849  0.349

Calculated values
- uncorrected formation energy (eV/atom) = -0.47
- total moment (μB/atom) = 0.00
- ΔE to the lowest computed polymorph (meV per atom) = 25



Crystalline NpReO6 at its relaxed geometry, computed with GGA-PBE.

Cell lengths 4.727, 4.727, 8.366 Å; angles 90.00, 90.00, 90.00 degrees
Last column: magnetic moment on the atom in μB.
Atoms (fractional coordinates):
Np  0.500  0.500  0.750  2.02
Np  0.500  0.500  0.250  2.02
Re  0.000  0.000  0.500  0.41
Re  0.000  0.000  0.000  0.41
O  0.213  0.213  0.345  -0.09
O  0.787  0.787  0.345  -0.09
O  0.787  0.213  0.845  -0.09
O  0.213  0.787  0.845  -0.09
O  0.787  0.787  0.655  -0.09
O  0.213  0.213  0.655  -0.09
O  0.213  0.787  0.155  -0.09
O  0.787  0.213  0.155  -0.09
O  0.281  0.719  0.500  -0.05
O  0.719  0.281  0.500  -0.05
O  0.281  0.281  0.000  -0.05
O  0.719  0.719  0.000  -0.05

Calculated values
- uncorrected formation energy (eV/atom) = -1.90
- total moment (μB/atom) = 0.25



Crystalline Cs2MgTiI6 at its relaxed geometry, computed with GGA-PBE.

Cell lengths 8.316, 8.316, 8.315 Å; angles 60.00, 60.00, 90.00 degrees
Last column: magnetic moment on the atom in μB.
Atoms (fractional coordinates):
Cs  0.750  0.250  0.500  0.00
Cs  0.250  0.750  0.500  0.00
I  0.249  0.249  0.502  -0.01
I  0.751  0.751  0.498  -0.01
I  0.249  0.249  0.000  -0.01
I  0.751  0.751  0.000  -0.01
I  0.751  0.249  0.000  -0.01
I  0.249  0.751  0.000  -0.01
Mg  0.500  0.500  0.000  0.00
Ti  0.000  0.000  0.000  1.66

Calculated values
- uncorrected formation energy (eV/atom) = -1.06
- total moment (μB/atom) = 0.20
- ΔE to the lowest computed polymorph (meV per atom) = 39